# ReHgRh2 GGA-PBE optimized geometry
# Energy of formation from the pure elements ... 513 meV/atom
# V ... 64 Å³/f.u.
# Final energy ... -6.3502 eV per atom
data_ReHgRh2
_cell_length_a 4.112
_cell_length_b 4.112
_cell_length_c 3.767
_cell_angle_alpha 90.00
_cell_angle_beta 90.00
_cell_angle_gamma 90.00
_space_group_name_H-M_alt 'P 4/m m m'
_space_group_IT_number 123
_space_group_name_Hall '-P 4 2'
loop_
_atom_site_label
_atom_site_type_symbol
_atom_site_fract_x
_atom_site_fract_y
_atom_site_fract_z
_atom_site_occupancy
Re1 Re 0.000 0.000 0.000 1
Hg1 Hg 0.500 0.500 0.000 1
Rh1 Rh 0.000 0.500 0.500 1